Crystalline CdWSe2 at its relaxed geometry, computed with PBE-GGA.

Cell: 3.2919 4.6599 4.9051 Å, 90.00 90.00 90.00°
With the nearest neighbours (Å) after each atom.
Fractional coordinates of all 4 atoms:
Cd 0.0000 0.0000 0.0000  8 Se 2.85-2.95
W 0.0000 0.5000 0.5000  8 Se 2.85-2.95
Se 0.5000 0.0000 0.5000  4 W 2.85, 4 Cd 2.95
Se 0.5000 0.5000 0.0000  4 Cd 2.85, 4 W 2.95

Output
Raw total energy = -18.56 eV for the cell shown
Space group = No. 47
D(E_F) = 3.07 states/eV per cell
Spin magnetization = 1.44 μB per formula unit


Crystalline Tb8Pr6Y at its relaxed geometry, computed with PBE-GGA.

Cell: 8.8001 8.8001 8.8001 Å, 63.00 63.00 63.00°
With the nearest neighbours (Å) after each atom.
Fractional coordinates of all 15 atoms:
Tb 0.0769 0.0769 0.0769  4 Tb 3.24-3.47, 3 Pr 3.49
Tb 0.2169 0.6124 0.2503  3 Pr 3.42-3.75, 5 Tb 3.47-3.49, 1 Y 3.57
Tb 0.2503 0.2169 0.6124  3 Pr 3.42-3.75, 5 Tb 3.47-3.49, 1 Y 3.57
Tb 0.3876 0.7497 0.7831  3 Pr 3.42-3.75, 5 Tb 3.47-3.49, 1 Y 3.57
Tb 0.6124 0.2503 0.2169  3 Pr 3.42-3.75, 5 Tb 3.47-3.49, 1 Y 3.57
Tb 0.7497 0.7831 0.3876  3 Pr 3.42-3.75, 5 Tb 3.47-3.49, 1 Y 3.57
Tb 0.7831 0.3876 0.7497  3 Pr 3.42-3.75, 5 Tb 3.47-3.49, 1 Y 3.57
Tb 0.9231 0.9231 0.9231  4 Tb 3.24-3.47, 3 Pr 3.49
Pr 0.0372 0.6003 0.7311  4 Tb 3.42-3.75, 1 Y 3.51, 2 Pr 3.57
Pr 0.2689 0.9628 0.3997  4 Tb 3.42-3.75, 1 Y 3.51, 2 Pr 3.57
Pr 0.3997 0.2689 0.9628  4 Tb 3.42-3.75, 1 Y 3.51, 2 Pr 3.57
Pr 0.6003 0.7311 0.0372  4 Tb 3.42-3.75, 1 Y 3.51, 2 Pr 3.57
Pr 0.7311 0.0372 0.6003  4 Tb 3.42-3.75, 1 Y 3.51, 2 Pr 3.57
Pr 0.9628 0.3997 0.2689  4 Tb 3.42-3.75, 1 Y 3.51, 2 Pr 3.57
Y 0.5000 0.5000 0.5000  6 Pr 3.51, 6 Tb 3.57

Output
Raw total energy = -70.42 eV for the cell shown
Space group = No. 148
D(E_F) = 21.86 states/eV per cell
Spin magnetization = 0.00 μB per formula unit
Formation energy from the elements = 170 kJ/mol of formula units


Crystalline LiTmMg2 at its relaxed geometry, computed with PBE-GGA.

Cell: 3.4543 3.4543 7.9154 Å, 90.00 90.00 90.00°
With the nearest neighbours (Å) after each atom.
Fractional coordinates of all 4 atoms:
Li 0.0000 0.0000 0.0000  8 Mg 2.98
Tm 0.0000 0.0000 0.5000  8 Mg 3.32, 4 Tm 3.45
Mg 0.5000 0.5000 0.2152  4 Li 2.98, 4 Tm 3.32
Mg 0.5000 0.5000 0.7848  4 Li 2.98, 4 Tm 3.32

Output
Raw total energy = -9.74 eV for the cell shown
Space group = No. 123
ΔE to the lowest computed polymorph = 0 meV/atom
D(E_F) = 3.29 states/eV per cell
Spin magnetization = 0.00 μB per formula unit
Formation energy from the elements = -16 kJ/mol of formula units


Crystalline Ca3NbB at its relaxed geometry, computed with PBE-GGA.

Cell: 5.4785 5.4785 5.4785 Å, 90.00 90.00 90.00°
With the nearest neighbours (Å) after each atom.
Fractional coordinates of all 5 atoms:
Ca 0.0000 0.0000 0.5000  2 Nb 2.74
Ca 0.0000 0.5000 0.0000  2 Nb 2.74
Ca 0.5000 0.0000 0.0000  2 Nb 2.74
Nb 0.0000 0.0000 0.0000  6 Ca 2.74
B 0.5000 0.5000 0.5000  12 Ca 3.87

Output
Raw total energy = -14.06 eV for the cell shown
Space group = No. 221
ΔE to the lowest computed polymorph = 901 meV/atom
D(E_F) = 3.26 states/eV per cell
Spin magnetization = 0.00 μB per formula unit
Formation energy from the elements = 839 kJ/mol of formula units


- What is the D(E_F) in the first record?
  3.07 states/eV per cell